A relaxed Fe2Br2O crystal. Source: Alexandria, functional PBE+U.

POSCAR file:
```
Fe2Br2O
1.0
-3.1143 5.0190 3.1264
3.1143 -5.0190 3.1264
3.1143 5.0190 -3.1264
Fe Br O
4 4 2
direct
0.0819 0.1813 0.2632
0.4182 0.6813 0.0995
0.5818 0.3187 0.9005
0.9182 0.8187 0.7368
0.1613 0.5975 0.7588
0.3387 0.0975 0.4362
0.6613 0.9025 0.5638
0.8387 0.4025 0.2412
0.2500 0.2500 0.0000
0.7500 0.7500 0.0000
```

Output
**Calculated total energy**: -0.1751 hartree per atom